# PBE+U Nd2CrCoO6, relaxed
# raw total energy: -7.635 eV/atom
# size of the total moment: 5.9 Bohr magnetons per cell
data_Nd2CrCoO6
_cell_length_a 5.420
_cell_length_b 5.527
_cell_length_c 9.407
_cell_angle_alpha 90.00
_cell_angle_beta 124.98
_cell_angle_gamma 90.00
_symmetry_space_group_name_H-M 'P 1 21/c 1'
_symmetry_Int_Tables_number 14
_symmetry_space_group_name_Hall '-P 2ybc'
loop_
_atom_site_label
_atom_site_type_symbol
_atom_site_fract_x
_atom_site_fract_y
_atom_site_fract_z
Nd1 Nd 0.238 0.049 0.250
Cr1 Cr 0.500 0.000 0.000
Co1 Co 0.000 0.000 0.500
O1 O 0.161 0.213 0.956
O2 O 0.244 0.706 0.957
O3 O 0.328 0.018 0.746